# RhPb2F7

RhPb2F7 after structural relaxation (GGA-PBE, the Alexandria database).

a b c (Å): 5.686 12.011 9.020
angles (deg): 90.00 90.64 90.00
Fractional positions:
Rh 0.197 0.132 0.312
Rh 0.197 0.368 0.812
Rh 0.803 0.632 0.188
Rh 0.803 0.868 0.688
Pb 0.267 0.053 0.851
Pb 0.267 0.447 0.351
Pb 0.287 0.705 0.955
Pb 0.287 0.795 0.455
Pb 0.713 0.205 0.545
Pb 0.713 0.295 0.045
Pb 0.733 0.553 0.649
Pb 0.733 0.947 0.149
F 0.004 0.729 0.691
F 0.004 0.771 0.191
F 0.085 0.099 0.103
F 0.085 0.401 0.603
F 0.097 0.552 0.131
F 0.097 0.948 0.631
F 0.292 0.164 0.523
F 0.292 0.336 0.023
F 0.384 0.511 0.814
F 0.384 0.989 0.314
F 0.395 0.606 0.495
F 0.395 0.894 0.995
F 0.494 0.223 0.274
F 0.494 0.277 0.774
F 0.506 0.723 0.226
F 0.506 0.777 0.726
F 0.605 0.106 0.005
F 0.605 0.394 0.505
F 0.616 0.011 0.686
F 0.616 0.489 0.186
F 0.708 0.664 0.977
F 0.708 0.836 0.477
F 0.903 0.052 0.369
F 0.903 0.448 0.869
F 0.915 0.599 0.397
F 0.915 0.901 0.897
F 0.996 0.229 0.809
F 0.996 0.271 0.309

Properties
- symmetry = P2_1/c (14)
- formation energy without anion corrections (eV per atom) = -2.07
- ρ (g cm⁻³) = 7.01
- total DFT energy (no corrections) (Ha/atom) = -0.179
- ΔE to the lowest computed polymorph (kcal/mol of atoms) = 0.00

***

# HfCuGe2

HfCuGe2 after structural relaxation (GGA-PBE, the Alexandria database).

a b c (Å): 6.518 6.518 6.518
angles (deg): 90.00 90.00 90.00
Fractional positions:
Hf 0.000 0.000 0.000
Hf 0.000 0.500 0.500
Hf 0.500 0.000 0.500
Hf 0.500 0.500 0.000
Cu 0.000 0.000 0.500
Cu 0.000 0.500 0.000
Cu 0.500 0.000 0.000
Cu 0.500 0.500 0.500
Ge 0.250 0.250 0.250
Ge 0.250 0.250 0.750
Ge 0.250 0.750 0.250
Ge 0.250 0.750 0.750
Ge 0.750 0.250 0.250
Ge 0.750 0.250 0.750
Ge 0.750 0.750 0.250
Ge 0.750 0.750 0.750

Properties
- symmetry = Fm-3m (225)
- ρ (g cm⁻³) = 9.29
- formation enthalpy at 0 K (eV/atom) = 0.067
- total DFT energy (no corrections) (Ha/atom) = -0.211

***

# Co3PdS

Co3PdS after structural relaxation (GGA-PBE, the Alexandria database).

a b c (Å): 4.106 4.106 4.106
angles (deg): 90.00 90.00 90.00
Fractional positions:
Co 0.000 0.000 0.500
Co 0.000 0.500 0.000
Co 0.500 0.000 0.000
Pd 0.500 0.500 0.500
S 0.000 0.000 0.000

Properties
- symmetry = Pm-3m (221)
- formation energy without anion corrections (eV per atom) = 0.22
- ρ (g cm⁻³) = 7.57
- total DFT energy (no corrections) (Ha/atom) = -0.217
- ΔE to the lowest computed polymorph (kcal/mol of atoms) = 0.00

***

# Sm3TeRh

Sm3TeRh after structural relaxation (GGA-PBE, the Alexandria database).

a b c (Å): 8.290 4.155 8.692
angles (deg): 90.00 106.35 90.00
Fractional positions:
Sm 0.070 0.250 0.258
Sm 0.310 0.250 0.936
Sm 0.318 0.750 0.593
Sm 0.682 0.250 0.407
Sm 0.690 0.750 0.064
Sm 0.930 0.750 0.742
Te 0.380 0.750 0.236
Te 0.620 0.250 0.764
Rh 0.083 0.250 0.611
Rh 0.917 0.750 0.389

Properties
- symmetry = P2_1/m (11)
- formation energy without anion corrections (eV per atom) = -0.86
- ρ (g cm⁻³) = 7.88
- total DFT energy (no corrections) (Ha/atom) = -0.213
- ΔE to the lowest computed polymorph (kcal/mol of atoms) = 0.49

***

# LaSm3Sb4

LaSm3Sb4 after structural relaxation (GGA-PBE, the Alexandria database).

a b c (Å): 9.022 12.756 4.514
angles (deg): 90.00 90.00 90.00
Fractional positions:
La 0.000 0.000 0.000
La 0.500 0.500 0.000
Sm 0.000 0.500 0.000
Sm 0.250 0.250 0.500
Sm 0.250 0.750 0.500
Sm 0.500 0.000 0.000
Sm 0.750 0.250 0.500
Sm 0.750 0.750 0.500
Sb 0.000 0.253 0.000
Sb 0.000 0.747 0.000
Sb 0.245 0.500 0.500
Sb 0.255 0.000 0.500
Sb 0.500 0.247 0.000
Sb 0.500 0.753 0.000
Sb 0.745 0.000 0.500
Sb 0.755 0.500 0.500

Properties
- symmetry = Cmmm (65)
- formation energy without anion corrections (eV per atom) = -1.20
- ρ (g cm⁻³) = 6.89
- total DFT energy (no corrections) (Ha/atom) = -0.207

***

# ZnSn4O8

ZnSn4O8 after structural relaxation (GGA-PBE, the Alexandria database).

a b c (Å): 7.911 7.911 10.943
angles (deg): 133.73 133.73 23.49
Fractional positions:
Zn 0.000 0.000 0.000
Sn 0.150 0.150 0.487
Sn 0.335 0.335 0.185
Sn 0.664 0.664 0.816
Sn 0.849 0.849 0.514
O 0.040 0.040 0.703
O 0.288 0.288 0.946
O 0.338 0.338 0.380
O 0.342 0.342 0.633
O 0.657 0.657 0.368
O 0.661 0.661 0.621
O 0.711 0.711 0.055
O 0.959 0.959 0.298

Properties
- symmetry = Cm (8)
- formation energy without anion corrections (eV per atom) = -1.39
- ρ (g cm⁻³) = 5.74
- total DFT energy (no corrections) (Ha/atom) = -0.212
- ΔE to the lowest computed polymorph (kcal/mol of atoms) = 1.06